DFT (PBE-GGA) results for a relaxed ZrBe2Al crystal.

Cell and atoms, written as POSCAR:
```
ZrBe2Al
1.0
1.405 0.811 8.685
-1.405 0.811 8.685
0.000 -1.622 8.685
Zr Be Al
1 2 1
Direct
0.000 0.000 0.000
0.243 0.243 0.243
0.757 0.757 0.757
0.500 0.500 0.500
```

---

DFT (PBE-GGA) results for a relaxed ZrBe17Al crystal.

Cell and atoms, written as POSCAR:
```
ZrBe17Al
1.0
3.728 2.153 3.633
-3.728 2.153 3.633
0.000 -4.305 3.633
Zr Be Al
1 17 1
Direct
0.000 0.000 0.000
0.044 0.344 0.631
0.044 0.631 0.344
0.182 0.683 0.683
0.241 0.241 0.241
0.331 0.331 0.843
0.331 0.843 0.331
0.344 0.044 0.631
0.344 0.631 0.044
0.440 0.440 0.440
0.498 0.998 0.998
0.631 0.044 0.344
0.631 0.344 0.044
0.683 0.182 0.683
0.683 0.683 0.182
0.843 0.331 0.331
0.998 0.498 0.998
0.998 0.998 0.498
0.707 0.707 0.707
```

---

DFT (PBE-GGA) results for a relaxed ZrBeAl3 crystal.

Cell and atoms, written as POSCAR:
```
ZrBeAl3
1.0
1.984 -11.127 0.000
1.984 11.127 0.000
0.000 0.000 3.769
Zr Be Al
2 2 6
Direct
0.167 0.833 0.000
0.833 0.167 0.000
0.380 0.620 0.500
0.620 0.380 0.500
0.060 0.940 0.500
0.282 0.718 0.500
0.441 0.559 0.000
0.559 0.441 0.000
0.718 0.282 0.500
0.940 0.060 0.500
```

---

DFT (PBE-GGA) results for a relaxed ZrBe3Al crystal.

Cell and atoms, written as POSCAR:
```
ZrBe3Al
1.0
4.596 0.000 0.000
0.000 4.596 0.000
0.000 0.000 4.596
Zr Be Al
1 3 1
Direct
0.000 0.000 0.000
0.000 0.000 0.500
0.000 0.500 0.000
0.500 0.000 0.000
0.500 0.500 0.500
```

---

For the records above, the corresponding E_form values read 0.3390; -0.0917; -0.2301; 1.6902 eV/atom.